1.
SrHfPb: relaxed, GGA-PBE.

```
data_SrHfPb
_chemical_formula_sum 'Sr2 Hf2 Pb2'
_cell_length_a 4.590
_cell_length_b 4.590
_cell_length_c 8.795
_cell_angle_alpha 90.00
_cell_angle_beta 90.00
_cell_angle_gamma 90.00
_symmetry_space_group_name_H-M 'P 4/n m m'
_symmetry_Int_Tables_number 129
loop_
_symmetry_equiv_pos_as_xyz
'x,y,z'
'-x,-y,-z'
'-y+1/2,x,z'
'y+1/2,-x,-z'
'-x+1/2,-y+1/2,z'
'x+1/2,y+1/2,-z'
'y,-x+1/2,z'
'-y,x+1/2,-z'
'x+1/2,-y,-z'
'-x+1/2,y,z'
'-y,-x,-z'
'y,x,z'
'-x,y+1/2,-z'
'x,-y+1/2,z'
'y+1/2,x+1/2,-z'
'-y+1/2,-x+1/2,z'
loop_
_atom_site_label
_atom_site_type_symbol
_atom_site_fract_x
_atom_site_fract_y
_atom_site_fract_z
_atom_site_occupancy
Sr1 Sr 0.250 0.250 0.156 1
Hf1 Hf 0.250 0.750 0.500 1
Pb1 Pb 0.250 0.250 0.735 1
```

As for the energy of formation from the pure elements: -0.172 eV/atom. The value obtained for the total energy is -5.286 eV/atom. The magnetic moment comes out at 0.27 μB per formula unit.

***

2.
Sr3HfPb: relaxed, GGA-PBE.

```
data_Sr3HfPb
_chemical_formula_sum 'Sr3 Hf1 Pb1'
_cell_length_a 6.283
_cell_length_b 6.283
_cell_length_c 6.283
_cell_angle_alpha 90.00
_cell_angle_beta 90.00
_cell_angle_gamma 90.00
_symmetry_space_group_name_H-M 'P m -3 m'
_symmetry_Int_Tables_number 221
_symmetry_space_group_name_Hall '-P 4 2 3'
loop_
_atom_site_label
_atom_site_type_symbol
_atom_site_fract_x
_atom_site_fract_y
_atom_site_fract_z
_atom_site_occupancy
Sr1 Sr 0.000 0.000 0.500 1
Hf1 Hf 0.500 0.500 0.500 1
Pb1 Pb 0.000 0.000 0.000 1
```

As for the energy of formation from the pure elements: 0.700 eV/atom. The value obtained for the total energy is -3.041 eV/atom. The magnetic moment comes out at 3.77 μB per formula unit. Its energy above the most stable polymorph in this dataset is 0 meV/atom.

***

3.
SrHf2Pb2: relaxed, GGA-PBE.

```
data_SrHf2Pb2
_chemical_formula_sum 'Sr2 Hf4 Pb4'
_cell_length_a 8.915
_cell_length_b 8.915
_cell_length_c 3.419
_cell_angle_alpha 90.00
_cell_angle_beta 90.00
_cell_angle_gamma 90.00
_symmetry_space_group_name_H-M 'P 4/m b m'
_symmetry_Int_Tables_number 127
_symmetry_space_group_name_Hall '-P 4 2ab'
loop_
_atom_site_label
_atom_site_type_symbol
_atom_site_fract_x
_atom_site_fract_y
_atom_site_fract_z
_atom_site_occupancy
Sr1 Sr 0.000 0.000 0.000 1
Hf1 Hf 0.124 0.376 0.500 1
Pb1 Pb 0.166 0.666 0.000 1
```

As for the energy of formation from the pure elements: 0.072 eV/atom. The value obtained for the total energy is -5.729 eV/atom. The magnetic moment comes out at 0.00 μB per formula unit. Its energy above the most stable polymorph in this dataset is 0 meV/atom.

***

4.
SrHf2Pb2: relaxed, GGA-PBE.

```
data_SrHf2Pb2
_chemical_formula_sum 'Sr2 Hf4 Pb4'
_cell_length_a 8.975
_cell_length_b 8.975
_cell_length_c 3.322
_cell_angle_alpha 90.00
_cell_angle_beta 90.00
_cell_angle_gamma 90.00
_symmetry_space_group_name_H-M 'P 4/m b m'
_symmetry_Int_Tables_number 127
_symmetry_space_group_name_Hall '-P 4 2ab'
loop_
_atom_site_label
_atom_site_type_symbol
_atom_site_fract_x
_atom_site_fract_y
_atom_site_fract_z
_atom_site_occupancy
Sr1 Sr 0.000 0.000 0.000 1
Hf1 Hf 0.117 0.383 0.000 1
Pb1 Pb 0.175 0.675 0.500 1
```

As for the energy of formation from the pure elements: 0.076 eV/atom. The value obtained for the total energy is -5.725 eV/atom. The magnetic moment comes out at 0.00 μB per formula unit. Its energy above the most stable polymorph in this dataset is 4 meV/atom.

***

5.
HfTa2Pb: relaxed, GGA-PBE.

```
data_HfTa2Pb
_chemical_formula_sum 'Hf4 Ta8 Pb4'
_cell_length_a 7.887
_cell_length_b 7.887
_cell_length_c 5.788
_cell_angle_alpha 90.00
_cell_angle_beta 90.00
_cell_angle_gamma 90.00
_symmetry_space_group_name_H-M 'I -4 2 d'
_symmetry_Int_Tables_number 122
_symmetry_space_group_name_Hall 'I -4 2bw'
loop_
_atom_site_label
_atom_site_type_symbol
_atom_site_fract_x
_atom_site_fract_y
_atom_site_fract_z
_atom_site_occupancy
Hf1 Hf 0.000 0.000 0.000 1
Ta1 Ta 0.244 0.250 0.625 1
Pb1 Pb 0.000 0.000 0.500 1
```

As for the energy of formation from the pure elements: 0.937 eV/atom. The value obtained for the total energy is -8.405 eV/atom. The magnetic moment comes out at 0.00 μB per formula unit.

***

6.
HfTaPb2: relaxed, GGA-PBE.

```
data_HfTaPb2
_chemical_formula_sum 'Hf4 Ta4 Pb8'
_cell_length_a 7.091
_cell_length_b 7.091
_cell_length_c 7.091
_cell_angle_alpha 90.00
_cell_angle_beta 90.00
_cell_angle_gamma 90.00
_symmetry_space_group_name_H-M 'F m -3 m'
_symmetry_Int_Tables_number 225
_symmetry_space_group_name_Hall '-F 4 2 3'
loop_
_atom_site_label
_atom_site_type_symbol
_atom_site_fract_x
_atom_site_fract_y
_atom_site_fract_z
_atom_site_occupancy
Hf1 Hf 0.000 0.000 0.000 1
Ta1 Ta 0.000 0.000 0.500 1
Pb1 Pb 0.250 0.250 0.250 1
```

As for the energy of formation from the pure elements: 0.497 eV/atom. The value obtained for the total energy is -6.809 eV/atom. The magnetic moment comes out at 0.00 μB per formula unit. Its energy above the most stable polymorph in this dataset is 0 meV/atom.

***

7.
Hf12TaPb6: relaxed, GGA-PBE.

```
data_Hf12TaPb6
_chemical_formula_sum 'Hf36 Ta3 Pb18'
_cell_length_a 10.8960
_cell_length_b 10.8960
_cell_length_c 12.7537
_cell_angle_alpha 90.00
_cell_angle_beta 90.00
_cell_angle_gamma 120.00
_symmetry_space_group_name_H-M 'R -3'
_symmetry_Int_Tables_number 148
_symmetry_space_group_name_Hall '-R 3'
loop_
_atom_site_label
_atom_site_type_symbol
_atom_site_fract_x
_atom_site_fract_y
_atom_site_fract_z
_atom_site_occupancy
Hf1 Hf 0.0456 0.8662 0.3117 1
Hf2 Hf 0.0657 0.2065 0.9087 1
Ta1 Ta 0.0000 0.0000 0.5000 1
Pb1 Pb 0.0241 0.5903 0.2124 1
```

As for the energy of formation from the pure elements: 0.140 eV/atom. The value obtained for the total energy is -7.941 eV/atom. The magnetic moment comes out at 0.00 μB per formula unit.

***

8.
Hf2TaPb: relaxed, GGA-PBE.

```
data_Hf2TaPb
_chemical_formula_sum 'Hf2 Ta1 Pb1'
_cell_length_a 3.612
_cell_length_b 3.612
_cell_length_c 6.600
_cell_angle_alpha 90.00
_cell_angle_beta 90.00
_cell_angle_gamma 90.00
_symmetry_space_group_name_H-M 'P 4/m m m'
_symmetry_Int_Tables_number 123
_symmetry_space_group_name_Hall '-P 4 2'
loop_
_atom_site_label
_atom_site_type_symbol
_atom_site_fract_x
_atom_site_fract_y
_atom_site_fract_z
_atom_site_occupancy
Hf1 Hf 0.000 0.000 0.233 1
Ta1 Ta 0.500 0.500 0.000 1
Pb1 Pb 0.500 0.500 0.500 1
```

As for the energy of formation from the pure elements: -0.011 eV/atom. The value obtained for the total energy is -8.878 eV/atom. The magnetic moment comes out at 0.00 μB per formula unit.

***

Please write out number 4 again, unchanged.
SrHf2Pb2: relaxed, GGA-PBE.

```
data_SrHf2Pb2
_chemical_formula_sum 'Sr2 Hf4 Pb4'
_cell_length_a 8.975
_cell_length_b 8.975
_cell_length_c 3.322
_cell_angle_alpha 90.00
_cell_angle_beta 90.00
_cell_angle_gamma 90.00
_symmetry_space_group_name_H-M 'P 4/m b m'
_symmetry_Int_Tables_number 127
_symmetry_space_group_name_Hall '-P 4 2ab'
loop_
_atom_site_label
_atom_site_type_symbol
_atom_site_fract_x
_atom_site_fract_y
_atom_site_fract_z
_atom_site_occupancy
Sr1 Sr 0.000 0.000 0.000 1
Hf1 Hf 0.117 0.383 0.000 1
Pb1 Pb 0.175 0.675 0.500 1
```

As for the energy of formation from the pure elements: 0.076 eV/atom. The value obtained for the total energy is -5.725 eV/atom. The magnetic moment comes out at 0.00 μB per formula unit. Its energy above the most stable polymorph in this dataset is 4 meV/atom.

***

Number 6 is which compound?
HfTaPb2